Entry 1:
The following is a PBE-GGA calculation of a relaxed PmNpBiTe crystal, from Alexandria.

abc: 7.7425 7.7425 7.7425
angles: 90.00 90.00 90.00
Space group F-43m (No. 216)
Asymmetric unit:
Pm  0.0000  0.0000  0.0000 (multiplicity 4)
Np  0.0000  0.0000  0.5000 (multiplicity 4)
Bi  0.2500  0.2500  0.2500 (multiplicity 4)
Te  0.2500  0.2500  0.7500 (multiplicity 4)

Energy in eV per atom: -6.7221
Formation energy without anion corrections in meV per atom: -544
Total moment in μB/f.u.: 4.93



Entry 2:
The following is a PBE-GGA calculation of a relaxed PrNpBi2 crystal, from Alexandria.

abc: 3.4924 3.4924 36.1560
angles: 90.00 90.00 120.00
Space group R-3m (No. 166, hexagonal axes)
Asymmetric unit:
Pr  0.0000  0.0000  0.0000 (multiplicity 3)
Np  0.0000  0.0000  0.5000 (multiplicity 3)
Bi  0.0000  0.0000  0.0913 (multiplicity 6)

Energy in eV per atom: -6.2369
Relative energy among the computed polymorphs in meV/atom: 455
Total moment in μB/f.u.: 4.96
Energy of formation in eV per atom: 0.134



Entry 3:
The following is a PBE-GGA calculation of a relaxed PrNpBi2 crystal, from Alexandria.

abc: 5.9645 5.9645 3.3938
angles: 90.00 90.00 90.00
Space group P4/mmm (No. 123)
Asymmetric unit:
Pr  0.0000  0.0000  0.0000 (multiplicity 1)
Np  0.5000  0.5000  0.0000 (multiplicity 1)
Bi  0.0000  0.5000  0.5000 (multiplicity 2)

Energy in eV per atom: -6.6921
Relative energy among the computed polymorphs in meV/atom: 0
Total moment in μB/f.u.: 4.65
Energy of formation in eV per atom: -0.322



Entry 4:
The following is a PBE-GGA calculation of a relaxed Pr5NpBi6 crystal, from Alexandria.

abc: 8.0025 13.8660 8.0069
angles: 90.00 109.46 90.00
Space group C2/m (No. 12)
Asymmetric unit:
Pr  0.0000  0.0000  0.0000 (multiplicity 2)
Pr  0.0000  0.1658  0.5000 (multiplicity 4)
Pr  0.0000  0.3309  0.0000 (multiplicity 4)
Np  0.0000  0.5000  0.5000 (multiplicity 2)
Bi  0.2445  0.5000  0.2522 (multiplicity 4)
Bi  0.2457  0.3361  0.7462 (multiplicity 8)

Energy in eV per atom: -5.7877
Total moment in μB/f.u.: 3.84
Energy of formation in eV per atom: -0.777



Entry 5:
The following is a PBE-GGA calculation of a relaxed Pr3NpBi4 crystal, from Alexandria.

abc: 7.9868 9.2339 7.9826
angles: 90.00 109.50 90.00
Space group P2/c (No. 13)
Asymmetric unit:
Pr  0.0000  0.1244  0.2500 (multiplicity 2)
Pr  0.0000  0.3744  0.7500 (multiplicity 2)
Pr  0.5000  0.1245  0.7500 (multiplicity 2)
Np  0.5000  0.3750  0.2500 (multiplicity 2)
Bi  0.2529  0.1286  0.0039 (multiplicity 4)
Bi  0.2568  0.3785  0.4993 (multiplicity 4)

Energy in eV per atom: -6.0365
Total moment in μB/f.u.: 3.96
Energy of formation in eV per atom: -0.686



Entry 6:
The following is a PBE-GGA calculation of a relaxed NpBiPt2 crystal, from Alexandria.

abc: 4.2811 4.2811 17.5314
angles: 90.00 90.00 120.00
Space group R-3m (No. 166, hexagonal axes)
Asymmetric unit:
Np  0.0000  0.0000  0.0000 (multiplicity 3)
Bi  0.0000  0.0000  0.5000 (multiplicity 3)
Pt  0.0000  0.0000  0.2525 (multiplicity 6)

Energy in eV per atom: -7.5392
Total moment in μB/f.u.: 3.47
Energy of formation in eV per atom: -0.313



Entry 7:
The following is a PBE-GGA calculation of a relaxed NpBiPt2 crystal, from Alexandria.

abc: 3.3668 3.3668 7.6487
angles: 90.00 90.00 90.00
Space group P4/mmm (No. 123)
Asymmetric unit:
Np  0.0000  0.0000  0.0000 (multiplicity 1)
Bi  0.0000  0.0000  0.5000 (multiplicity 1)
Pt  0.5000  0.5000  0.2303 (multiplicity 2)

Energy in eV per atom: -7.5073
Total moment in μB/f.u.: 3.42
Energy of formation in eV per atom: -0.281



Entry 8:
The following is a PBE-GGA calculation of a relaxed NpBi2Pt crystal, from Alexandria.

abc: 3.5097 3.5097 31.4277
angles: 90.00 90.00 120.00
Space group R-3m (No. 166, hexagonal axes)
Asymmetric unit:
Np  0.0000  0.0000  0.0000 (multiplicity 3)
Bi  0.0000  0.0000  0.1038 (multiplicity 6)
Pt  0.0000  0.0000  0.5000 (multiplicity 3)

Energy in eV per atom: -6.3798
Relative energy among the computed polymorphs in meV/atom: 377
Total moment in μB/f.u.: 5.00
Energy of formation in eV per atom: 0.306



Entry 9:
The following is a PBE-GGA calculation of a relaxed NpBiPt crystal, from Alexandria.

abc: 3.9820 19.6153 3.8861
angles: 90.00 90.00 90.00
Space group Cmcm (No. 63)
Asymmetric unit:
Np  0.0000  0.0444  0.2500 (multiplicity 4)
Bi  0.0000  0.1889  0.7500 (multiplicity 4)
Pt  0.0000  0.4148  0.2500 (multiplicity 4)

Energy in eV per atom: -7.8342
Total moment in μB/f.u.: 3.05
Energy of formation in eV per atom: -0.213



Entry 10:
The following is a PBE-GGA calculation of a relaxed NpBi2Pt crystal, from Alexandria.

abc: 4.8078 4.8078 4.2225
angles: 90.00 90.00 90.00
Space group P4/mmm (No. 123)
Asymmetric unit:
Np  0.0000  0.0000  0.0000 (multiplicity 1)
Bi  0.0000  0.5000  0.5000 (multiplicity 2)
Pt  0.5000  0.5000  0.0000 (multiplicity 1)

Energy in eV per atom: -6.7567
Relative energy among the computed polymorphs in meV/atom: 0
Total moment in μB/f.u.: 3.86
Energy of formation in eV per atom: -0.071



Entry 11:
The following is a PBE-GGA calculation of a relaxed NpBiPt crystal, from Alexandria.

abc: 4.8960 4.8960 3.3716
angles: 90.00 90.00 120.00
Space group P3m1 (No. 156)
Asymmetric unit:
Np  0.0000  0.0000  0.0000 (multiplicity 1)
Bi  0.3333  0.6667  0.5017 (multiplicity 1)
Pt  0.6667  0.3333  0.4933 (multiplicity 1)

Energy in eV per atom: -7.7876
Total moment in μB/f.u.: 4.38
Energy of formation in eV per atom: -0.167



Entry 12:
The following is a PBE-GGA calculation of a relaxed Np2BiPt9 crystal, from Alexandria.

abc: 4.1623 4.1623 12.4699
angles: 90.00 90.00 90.00
Space group P4/mmm (No. 123)
Asymmetric unit:
Np  0.0000  0.0000  0.1654 (multiplicity 2)
Bi  0.0000  0.0000  0.5000 (multiplicity 1)
Pt  0.0000  0.5000  0.0000 (multiplicity 2)
Pt  0.0000  0.5000  0.3277 (multiplicity 4)
Pt  0.5000  0.5000  0.1671 (multiplicity 2)
Pt  0.5000  0.5000  0.5000 (multiplicity 1)

Energy in eV per atom: -7.4231
Total moment in μB/f.u.: 6.37
Energy of formation in eV per atom: -0.412



Entry 13:
The following is a PBE-GGA calculation of a relaxed PuNpBi6 crystal, from Alexandria.

abc: 4.9425 4.9425 9.8091
angles: 90.00 90.00 90.00
Space group P4/mmm (No. 123)
Asymmetric unit:
Pu  0.0000  0.0000  0.0000 (multiplicity 1)
Np  0.0000  0.0000  0.5000 (multiplicity 1)
Bi  0.0000  0.5000  0.2510 (multiplicity 4)
Bi  0.5000  0.5000  0.0000 (multiplicity 1)
Bi  0.5000  0.5000  0.5000 (multiplicity 1)

Energy in eV per atom: -6.4304
Total moment in μB/f.u.: 9.78
Energy of formation in eV per atom: -0.111



Entry 14:
The following is a PBE-GGA calculation of a relaxed PuNpBiTe crystal, from Alexandria.

abc: 7.6180 7.6180 7.6180
angles: 90.00 90.00 90.00
Space group F-43m (No. 216)
Asymmetric unit:
Pu  0.0000  0.0000  0.0000 (multiplicity 4)
Np  0.0000  0.0000  0.5000 (multiplicity 4)
Bi  0.2500  0.2500  0.7500 (multiplicity 4)
Te  0.2500  0.2500  0.2500 (multiplicity 4)

Energy in eV per atom: -8.9900
Formation energy without anion corrections in meV per atom: -416
Total moment in μB/f.u.: 9.99



Entry 15:
The following is a PBE-GGA calculation of a relaxed RbNpBi2 crystal, from Alexandria.

abc: 3.5707 3.5707 10.3135
angles: 90.00 90.00 90.00
Space group P4/mmm (No. 123)
Asymmetric unit:
Rb  0.0000  0.0000  0.0000 (multiplicity 1)
Np  0.0000  0.0000  0.5000 (multiplicity 1)
Bi  0.5000  0.5000  0.2789 (multiplicity 2)

Energy in eV per atom: -5.5486
Relative energy among the computed polymorphs in meV/atom: 0
Total moment in μB/f.u.: 4.68
Energy of formation in eV per atom: -0.131



Entry 16:
The following is a PBE-GGA calculation of a relaxed RbNpBi2 crystal, from Alexandria.

abc: 4.6958 4.6958 26.1390
angles: 90.00 90.00 120.00
Space group R3m (No. 160, hexagonal axes)
Asymmetric unit:
Rb  0.0000  0.0000  0.0000 (multiplicity 3)
Np  0.0000  0.0000  0.1696 (multiplicity 3)
Bi  0.0000  0.0000  0.5645 (multiplicity 3)
Bi  0.0000  0.0000  0.7739 (multiplicity 3)

Energy in eV per atom: -5.3647
Relative energy among the computed polymorphs in meV/atom: 184
Total moment in μB/f.u.: 3.22
Energy of formation in eV per atom: 0.053



Entry 17:
The following is a PBE-GGA calculation of a relaxed RbNpBi2 crystal, from Alexandria.

abc: 4.7392 4.7392 25.5646
angles: 90.00 90.00 120.00
Space group R-3m (No. 166, hexagonal axes)
Asymmetric unit:
Rb  0.0000  0.0000  0.0000 (multiplicity 3)
Np  0.0000  0.0000  0.5000 (multiplicity 3)
Bi  0.0000  0.0000  0.2282 (multiplicity 6)

Energy in eV per atom: -5.3771
Relative energy among the computed polymorphs in meV/atom: 171
Total moment in μB/f.u.: 3.24
Energy of formation in eV per atom: 0.040



Entry 18:
The following is a PBE-GGA calculation of a relaxed Rb3Np3BiS8 crystal, from Alexandria.

abc: 14.2982 8.2406 9.0859
angles: 90.00 121.51 90.00
Space group C2/m (No. 12)
Asymmetric unit:
Rb  0.0000  0.0000  0.0000 (multiplicity 2)
Rb  0.2500  0.2500  0.0000 (multiplicity 4)
Np  0.0000  0.5000  0.5000 (multiplicity 2)
Np  0.2500  0.2500  0.5000 (multiplicity 4)
Bi  0.0000  0.0000  0.5000 (multiplicity 2)
S  0.0220  0.2569  0.3096 (multiplicity 8)
S  0.2303  0.5000  0.6892 (multiplicity 4)
S  0.2342  0.0000  0.6884 (multiplicity 4)

Energy in eV per atom: -6.4432
Formation energy without anion corrections in meV per atom: -1202
Total moment in μB/f.u.: 3.69



Entry 19:
The following is a PBE-GGA calculation of a relaxed Rb2NpBi2S6 crystal, from Alexandria.

abc: 7.1340 12.2900 8.2556
angles: 90.00 107.45 90.00
Space group C2/m (No. 12)
Asymmetric unit:
Rb  0.0000  0.1712  0.0000 (multiplicity 4)
Np  0.0000  0.0000  0.5000 (multiplicity 2)
Bi  0.0000  0.3323  0.5000 (multiplicity 4)
S  0.2252  0.1609  0.6907 (multiplicity 8)
S  0.2481  0.0000  0.3097 (multiplicity 4)

Energy in eV per atom: -5.2489
Formation energy without anion corrections in meV per atom: -940
Total moment in μB/f.u.: 3.00



Entry 20:
The following is a PBE-GGA calculation of a relaxed Rb3Np2BiSe6 crystal, from Alexandria.

abc: 7.5228 13.0253 8.3566
angles: 90.00 107.43 90.00
Space group C2/m (No. 12)
Asymmetric unit:
Rb  0.0000  0.0000  0.0000 (multiplicity 2)
Rb  0.0000  0.3367  0.0000 (multiplicity 4)
Np  0.0000  0.1670  0.5000 (multiplicity 4)
Bi  0.0000  0.5000  0.5000 (multiplicity 2)
Se  0.2245  0.0000  0.6973 (multiplicity 4)
Se  0.2367  0.3295  0.6984 (multiplicity 8)

Energy in eV per atom: -5.5459
Formation energy without anion corrections in meV per atom: -1082
Total moment in μB/f.u.: 8.00



Entry 21:
The following is a PBE-GGA calculation of a relaxed Rb2Np2BiSe6 crystal, from Alexandria.

abc: 7.3508 12.7709 8.4964
angles: 90.00 106.05 90.00
Space group C2/m (No. 12)
Asymmetric unit:
Rb  0.0000  0.1628  0.0000 (multiplicity 4)
Np  0.0000  0.3339  0.5000 (multiplicity 4)
Bi  0.0000  0.0000  0.5000 (multiplicity 2)
Se  0.2178  0.5000  0.6940 (multiplicity 4)
Se  0.2330  0.1724  0.6921 (multiplicity 8)

Energy in eV per atom: -5.8463
Formation energy without anion corrections in meV per atom: -1064
Total moment in μB/f.u.: 7.00



Entry 22:
The following is a PBE-GGA calculation of a relaxed Rb2NpBiSe5 crystal, from Alexandria.

abc: 4.4009 18.4135 15.9025
angles: 90.00 90.00 90.00
Space group Cmc2_1 (No. 36)
Asymmetric unit:
Rb  0.0000  0.0966  0.0000 (multiplicity 4)
Rb  0.0000  0.1479  0.6336 (multiplicity 4)
Np  0.0000  0.2137  0.3580 (multiplicity 4)
Bi  0.0000  0.4650  0.7706 (multiplicity 4)
Se  0.0000  0.0669  0.3899 (multiplicity 4)
Se  0.0000  0.2783  0.9673 (multiplicity 4)
Se  0.0000  0.3131  0.7432 (multiplicity 4)
Se  0.0000  0.3536  0.3228 (multiplicity 4)
Se  0.0000  0.4933  0.1123 (multiplicity 4)

Energy in eV per atom: -4.8837
Formation energy without anion corrections in meV per atom: -864
Total moment in μB/f.u.: 1.99



Entry 23:
The following is a PBE-GGA calculation of a relaxed Rb2NpBiSe4 crystal, from Alexandria.

abc: 7.5514 4.3589 8.3676
angles: 90.00 107.52 90.00
Space group P2/m (No. 10)
Asymmetric unit:
Rb  0.0000  0.0000  0.0000 (multiplicity 1)
Rb  0.5000  0.5000  0.0000 (multiplicity 1)
Np  0.0000  0.5000  0.5000 (multiplicity 1)
Bi  0.5000  0.0000  0.5000 (multiplicity 1)
Se  0.2262  0.0000  0.6973 (multiplicity 2)
Se  0.2618  0.5000  0.2993 (multiplicity 2)

Energy in eV per atom: -5.0894
Formation energy without anion corrections in meV per atom: -1003
Total moment in μB/f.u.: 3.99



Entry 24:
The following is a PBE-GGA calculation of a relaxed Rb3NpBi2Te6 crystal, from Alexandria.

abc: 8.0222 13.8936 8.9886
angles: 90.00 107.30 90.00
Space group C2/m (No. 12)
Asymmetric unit:
Rb  0.0000  0.0000  0.0000 (multiplicity 2)
Rb  0.0000  0.3322  0.0000 (multiplicity 4)
Np  0.0000  0.5000  0.5000 (multiplicity 2)
Bi  0.0000  0.1664  0.5000 (multiplicity 4)
Te  0.2334  0.3339  0.7022 (multiplicity 8)
Te  0.2354  0.0000  0.7028 (multiplicity 4)

Energy in eV per atom: -4.2335
Formation energy without anion corrections in meV per atom: -695
Total moment in μB/f.u.: 4.00



Entry 25:
The following is a PBE-GGA calculation of a relaxed Rb3Np2BiTe6 crystal, from Alexandria.

abc: 8.0244 13.8965 8.9251
angles: 90.00 107.40 90.00
Space group C2/m (No. 12)
Asymmetric unit:
Rb  0.0000  0.0000  0.0000 (multiplicity 2)
Rb  0.0000  0.3355  0.0000 (multiplicity 4)
Np  0.0000  0.1670  0.5000 (multiplicity 4)
Bi  0.0000  0.5000  0.5000 (multiplicity 2)
Te  0.2289  0.0000  0.7002 (multiplicity 4)
Te  0.2358  0.3313  0.7010 (multiplicity 8)

Energy in eV per atom: -5.0786
Formation energy without anion corrections in meV per atom: -786
Total moment in μB/f.u.: 8.00